No. 1
{
  "formula": "ZrGaCuO2",
  "functional": "PBE",
  "state": "optimized geometry",
  "cell": [[3.8095, 0.0000, 0.0000], [0.0000, 3.8095, 0.0000], [0.0000, 0.0000, 5.4861]],
  "species": ["Zr", "Ga", "Cu", "O", "O"],
  "frac_coords": [[0.0000, 0.0000, 0.0000], [0.0000, 0.0000, 0.5000], [0.5000, 0.5000, 0.0000], [0.0000, 0.5000, 0.5000], [0.5000, 0.0000, 0.5000]],
  "formation_energy_uncorrected_mev_per_atom": 28
}

---

No. 2
{
  "formula": "ZrGa2CuO",
  "functional": "PBE",
  "state": "optimized geometry",
  "cell": [[4.5829, 0.0000, 0.0000], [0.0000, 4.5829, 0.0000], [0.0000, 0.0000, 3.7502]],
  "species": ["Zr", "Ga", "Ga", "Cu", "O"],
  "frac_coords": [[0.0000, 0.0000, 0.0000], [0.0000, 0.5000, 0.5000], [0.5000, 0.0000, 0.5000], [0.5000, 0.5000, 0.0000], [0.5000, 0.5000, 0.5000]],
  "formation_energy_uncorrected_mev_per_atom": -302
}

---

No. 3
{
  "formula": "Ga2Cu2Os",
  "functional": "PBE",
  "state": "optimized geometry",
  "cell": [[6.9321, 0.0000, 0.0000], [0.0000, 6.9321, 0.0000], [0.0000, 0.0000, 2.8808]],
  "species": ["Ga", "Ga", "Ga", "Ga", "Cu", "Cu", "Cu", "Cu", "Os", "Os"],
  "frac_coords": [[0.1547, 0.3453, 0.0000], [0.3453, 0.8453, 0.0000], [0.6547, 0.1547, 0.0000], [0.8453, 0.6547, 0.0000], [0.1424, 0.6424, 0.5000], [0.3576, 0.1424, 0.5000], [0.6424, 0.8576, 0.5000], [0.8576, 0.3576, 0.5000], [0.0000, 0.0000, 0.0000], [0.5000, 0.5000, 0.0000]],
  "de_polymorph_mev_per_atom": 0
}

---

No. 4
{
  "formula": "GaCuOs2",
  "functional": "PBE",
  "state": "optimized geometry",
  "cell": [[-3.4799, 3.4799, 2.5311], [3.4799, -3.4799, 2.5311], [3.4799, 3.4799, -2.5311]],
  "species": ["Ga", "Ga", "Cu", "Cu", "Os", "Os", "Os", "Os"],
  "frac_coords": [[0.0000, 0.0000, 0.0000], [0.7500, 0.2500, 0.5000], [0.2500, 0.7500, 0.5000], [0.5000, 0.5000, 0.0000], [0.1155, 0.6250, 0.9905], [0.3750, 0.3655, 0.4905], [0.6345, 0.1250, 0.0095], [0.8750, 0.8845, 0.5095]],
  "final_energy_ev_per_atom": -6.540
}

---

No. 5
{
  "formula": "Ga6CuOs",
  "functional": "PBE",
  "state": "optimized geometry",
  "cell": [[2.1608, -6.0855, 0.0000], [2.1608, 6.0855, 0.0000], [-0.0366, 0.0000, 5.4422]],
  "species": ["Ga", "Ga", "Ga", "Ga", "Ga", "Ga", "Cu", "Os"],
  "frac_coords": [[0.0017, 0.0017, 0.2488], [0.3004, 0.6696, 0.7507], [0.3304, 0.6996, 0.2493], [0.6696, 0.3004, 0.7507], [0.6996, 0.3304, 0.2493], [0.9983, 0.9983, 0.7512], [0.5000, 0.5000, 0.5000], [0.5000, 0.5000, 0.0000]],
  "final_energy_ev_per_atom": -4.224
}

---

No. 6
{
  "formula": "GaCuOs",
  "functional": "PBE",
  "state": "optimized geometry",
  "cell": [[1.3812, -7.7120, 0.0000], [1.3812, 7.7120, 0.0000], [0.0000, 0.0000, 3.9600]],
  "species": ["Ga", "Ga", "Cu", "Cu", "Os", "Os"],
  "frac_coords": [[0.1125, 0.8875, 0.5000], [0.8875, 0.1125, 0.0000], [0.4537, 0.5463, 0.4982], [0.5463, 0.4537, 0.9982], [0.2851, 0.7149, 0.5041], [0.7149, 0.2851, 0.0041]],
  "final_energy_ev_per_atom": -5.959
}

---

No. 7
{
  "formula": "Ga2Cu2Os",
  "functional": "PBE",
  "state": "optimized geometry",
  "cell": [[7.0416, 0.0000, 0.0000], [0.0000, 7.0416, 0.0000], [0.0000, 0.0000, 2.7436]],
  "species": ["Ga", "Ga", "Ga", "Ga", "Cu", "Cu", "Cu", "Cu", "Os", "Os"],
  "frac_coords": [[0.1778, 0.3222, 0.0000], [0.3222, 0.8222, 0.0000], [0.6778, 0.1778, 0.0000], [0.8222, 0.6778, 0.0000], [0.1219, 0.6219, 0.5000], [0.3781, 0.1219, 0.5000], [0.6219, 0.8781, 0.5000], [0.8781, 0.3781, 0.5000], [0.0000, 0.0000, 0.5000], [0.5000, 0.5000, 0.5000]],
  "de_polymorph_mev_per_atom": 35
}

---

No. 8
{
  "formula": "Ga2CuOs2",
  "functional": "PBE",
  "state": "optimized geometry",
  "cell": [[6.6692, 0.0000, 0.0000], [0.0000, 6.6692, 0.0000], [0.0000, 0.0000, 3.3843]],
  "species": ["Ga", "Ga", "Ga", "Ga", "Cu", "Cu", "Os", "Os", "Os", "Os"],
  "frac_coords": [[0.1583, 0.3417, 0.0000], [0.3417, 0.8417, 0.0000], [0.6583, 0.1583, 0.0000], [0.8417, 0.6583, 0.0000], [0.0000, 0.0000, 0.5000], [0.5000, 0.5000, 0.5000], [0.1424, 0.6424, 0.5000], [0.3576, 0.1424, 0.5000], [0.6424, 0.8576, 0.5000], [0.8576, 0.3576, 0.5000]],
  "de_polymorph_mev_per_atom": 0
}

---

No. 9
{
  "formula": "Ga2CuOs2",
  "functional": "PBE",
  "state": "optimized geometry",
  "cell": [[6.7971, 0.0000, 0.0000], [0.0000, 6.7971, 0.0000], [0.0000, 0.0000, 3.1677]],
  "species": ["Ga", "Ga", "Ga", "Ga", "Cu", "Cu", "Os", "Os", "Os", "Os"],
  "frac_coords": [[0.1434, 0.3566, 0.0000], [0.3566, 0.8566, 0.0000], [0.6434, 0.1434, 0.0000], [0.8566, 0.6434, 0.0000], [0.0000, 0.0000, 0.0000], [0.5000, 0.5000, 0.0000], [0.1548, 0.6548, 0.5000], [0.3452, 0.1548, 0.5000], [0.6548, 0.8452, 0.5000], [0.8452, 0.3452, 0.5000]],
  "de_polymorph_mev_per_atom": 106
}

---

No. 10
{
  "formula": "GaCu2Os",
  "functional": "PBE",
  "state": "optimized geometry",
  "cell": [[-1.7767, 1.7767, 9.2085], [1.7767, -1.7767, 9.2085], [1.7767, 1.7767, -9.2085]],
  "species": ["Ga", "Ga", "Cu", "Cu", "Cu", "Cu", "Os", "Os"],
  "frac_coords": [[0.0000, 0.0000, 0.0000], [0.7500, 0.2500, 0.5000], [0.1293, 0.6250, 0.0043], [0.3750, 0.3793, 0.5043], [0.6207, 0.1250, 0.9957], [0.8750, 0.8707, 0.4957], [0.2500, 0.7500, 0.5000], [0.5000, 0.5000, 0.0000]],
  "final_energy_ev_per_atom": -5.159
}

---

No. 11
{
  "formula": "PmGa4Cu2Os",
  "functional": "PBE",
  "state": "optimized geometry",
  "cell": [[2.1006, 1.2128, 9.0190], [-2.1006, 1.2128, 9.0190], [0.0000, -2.4256, 9.0190]],
  "species": ["Pm", "Ga", "Ga", "Ga", "Ga", "Cu", "Cu", "Os"],
  "frac_coords": [[0.0000, 0.0000, 0.0000], [0.1316, 0.1316, 0.1316], [0.4021, 0.4021, 0.4021], [0.5979, 0.5979, 0.5979], [0.8684, 0.8684, 0.8684], [0.2340, 0.2340, 0.2340], [0.7660, 0.7660, 0.7660], [0.5000, 0.5000, 0.5000]],
  "final_energy_ev_per_atom": -4.741
}

---

No. 12
{
  "formula": "PrGa4Cu2Os",
  "functional": "PBE",
  "state": "optimized geometry",
  "cell": [[2.1061, 1.2160, 9.1153], [-2.1061, 1.2160, 9.1153], [0.0000, -2.4319, 9.1153]],
  "species": ["Pr", "Ga", "Ga", "Ga", "Ga", "Cu", "Cu", "Os"],
  "frac_coords": [[0.0000, 0.0000, 0.0000], [0.1322, 0.1322, 0.1322], [0.4033, 0.4033, 0.4033], [0.5967, 0.5967, 0.5967], [0.8678, 0.8678, 0.8678], [0.2328, 0.2328, 0.2328], [0.7672, 0.7672, 0.7672], [0.5000, 0.5000, 0.5000]],
  "final_energy_ev_per_atom": -4.745
}

---

Number 1: size of the total moment 0.0 μB per cell, volume 79.62 Å³ per cell. Number 2: size of the total moment 0.0 μB per cell, volume 78.76 Å³ per cell. Number 3: size of the total moment 1.6 μB per cell, volume 138.43 Å³ per cell. Number 4: size of the total moment 1.0 μB per cell, volume 122.60 Å³ per cell. Number 5: size of the total moment 0.0 μB per cell, volume 143.12 Å³ per cell. Number 6: size of the total moment 0.0 μB per cell, volume 84.36 Å³ per cell. Number 7: size of the total moment 0.6 μB per cell, volume 136.04 Å³ per cell. Number 8: size of the total moment 0.0 μB per cell, volume 150.53 Å³ per cell. Number 9: size of the total moment 0.0 μB per cell, volume 146.35 Å³ per cell. Number 10: size of the total moment 0.9 μB per cell, volume 116.27 Å³ per cell. Number 11: size of the total moment 0.0 μB per cell, volume 137.86 Å³ per cell. Number 12: size of the total moment 0.0 μB per cell, volume 140.07 Å³ per cell.